Record 1
First-principles (PBE) data for a relaxed structure of NdEr2Os, as listed in Alexandria.

```
data_NdEr2Os
_chemical_formula_sum 'Nd3 Er6 Os3'
_space_group_name_H-M_alt 'R -3 m'
_space_group_IT_number 166
_space_group_name_Hall '-R 3 2"'
_cell_length_a 3.4393
_cell_length_b 3.4393
_cell_length_c 32.8397
_cell_angle_alpha 90.00
_cell_angle_beta 90.00
_cell_angle_gamma 120.00
loop_
_atom_site_label
_atom_site_fract_x
_atom_site_fract_y
_atom_site_fract_z
Nd1 0.0000 0.0000 0.0000
Er1 0.0000 0.0000 0.1066
Os1 0.0000 0.0000 0.5000
```

Total magnetization = 0.001 Bohr magnetons per cell
Total DFT energy (no corrections) = -72.67 eV/cell


Record 2
First-principles (PBE) data for a relaxed structure of Nd2Er3Os2, as listed in Alexandria.

```
data_Nd2Er3Os2
_chemical_formula_sum 'Nd4 Er6 Os4'
_space_group_name_H-M_alt 'C 1 2/m 1'
_space_group_IT_number 12
_cell_length_a 12.026
_cell_length_b 3.960
_cell_length_c 8.582
_cell_angle_alpha 90.00
_cell_angle_beta 114.66
_cell_angle_gamma 90.00
loop_
_space_group_symop_operation_xyz
'x,y,z'
'-x,-y,-z'
'-x,y,-z'
'x,-y,z'
'x+1/2,y+1/2,z'
'-x+1/2,-y+1/2,-z'
'-x+1/2,y+1/2,-z'
'x+1/2,-y+1/2,z'
loop_
_atom_site_label
_atom_site_fract_x
_atom_site_fract_y
_atom_site_fract_z
Nd1 0.161 0.000 0.302
Er1 0.000 0.500 0.500
Er2 0.126 0.500 0.927
Os1 0.174 0.000 0.723
```

Total magnetization = 0.000 Bohr magnetons per cell
Total DFT energy (no corrections) = -94.26 eV/cell


Record 3
First-principles (PBE) data for a relaxed structure of NdEr2Os, as listed in Alexandria.

```
data_NdEr2Os
_chemical_formula_sum 'Nd1 Er2 Os1'
_space_group_name_H-M_alt 'P 4/m m m'
_space_group_IT_number 123
_space_group_name_Hall '-P 4 2'
_cell_length_a 3.403
_cell_length_b 3.403
_cell_length_c 9.225
_cell_angle_alpha 90.00
_cell_angle_beta 90.00
_cell_angle_gamma 90.00
loop_
_atom_site_label
_atom_site_fract_x
_atom_site_fract_y
_atom_site_fract_z
Nd1 0.000 0.000 0.000
Er1 0.500 0.500 0.323
Os1 0.000 0.000 0.500
```

Total magnetization = 0.000 Bohr magnetons per cell
Total DFT energy (no corrections) = -25.81 eV/cell